(1)
Density functional theory data (PBE-GGA) for a geometry-optimized NdMgSn4 structure.

Unit cell a=6.1920 b=6.1920 c=6.1920 alpha=60.00 beta=60.00 gamma=60.00
Sites, in units of the cell vectors:
1 Mg 0.2500 0.2500 0.2500
2 Sn 0.6249 0.1253 0.6249
3 Sn 0.6249 0.6249 0.6249
4 Sn 0.1253 0.6249 0.6249
5 Sn 0.6249 0.6249 0.1253
6 Nd 0.0000 0.0000 0.0000

Output
As for the space group: No. 216. The value obtained for the total energy is -3.927 eV per atom. The calculation puts the formation energy at -19 kJ per mole of atoms.

***

(2)
Density functional theory data (PBE-GGA) for a geometry-optimized NdMgSn structure.

Unit cell a=3.4729 b=3.4729 c=8.2795 alpha=77.89 beta=77.89 gamma=60.00
Sites, in units of the cell vectors:
1 Nd 0.3306 0.3306 0.0082
2 Sn 0.1108 0.1108 0.6676
3 Mg 0.5440 0.5440 0.3681

Output
As for the space group: No. 160. The value obtained for the total energy is -3.632 eV per atom. The calculation puts the formation energy at -17 kJ per mole of atoms.

***

(3)
Density functional theory data (PBE-GGA) for a geometry-optimized Nd3Mg2Sn structure.

Unit cell a=4.2884 b=5.1959 c=8.2465 alpha=108.36 beta=90.00 gamma=90.00
Sites, in units of the cell vectors:
1 Nd 0.5000 0.8371 0.6743
2 Nd 0.5000 0.5000 0.0000
3 Nd 0.5000 0.1629 0.3257
4 Sn 0.0000 0.0000 0.0000
5 Mg 0.0000 0.3269 0.6538
6 Mg 0.0000 0.6731 0.3462

Output
As for the space group: No. 65. The value obtained for the total energy is -3.920 eV per atom. The calculation puts the formation energy at -33 kJ per mole of atoms.